No. 1
# Cs2Ce2ScSe6 | Alexandria via LeMat-Bulk | GGA-PBE | relaxed
data_Cs2Ce2ScSe6
_chemical_formula_sum 'Cs2 Ce2 Sc1 Se6'
_cell_length_a 7.272
_cell_length_b 7.272
_cell_length_c 8.877
_cell_angle_alpha 98.04
_cell_angle_beta 98.04
_cell_angle_gamma 119.64
_symmetry_space_group_name_H-M 'P 1'
_symmetry_Int_Tables_number 1
loop_
_symmetry_equiv_pos_as_xyz
'x,y,z'
loop_
_atom_site_label
_atom_site_type_symbol
_atom_site_fract_x
_atom_site_fract_y
_atom_site_fract_z
Se1 Se 0.938 0.621 0.320
Se2 Se 0.379 0.062 0.680
Se3 Se 0.062 0.379 0.680
Se4 Se 0.255 0.255 0.321
Se5 Se 0.745 0.745 0.679
Se6 Se 0.621 0.938 0.320
Ce1 Ce 0.333 0.667 0.500
Ce2 Ce 0.667 0.333 0.500
Cs1 Cs 0.169 0.831 0.000
Cs2 Cs 0.831 0.169 0.000
Sc1 Sc 0.000 0.000 0.500
# * total energy: -5.3783 eV/atom
# * magnetization: 1.02 μB/cell
# * N(E_F): 0.552 states/eV per atom
# * volume: 391.89 Å³/cell


No. 2
# Cs3Ce2ScSe6 | Alexandria via LeMat-Bulk | GGA-PBE | relaxed
data_Cs3Ce2ScSe6
_chemical_formula_sum 'Cs3 Ce2 Sc1 Se6'
_cell_length_a 7.480
_cell_length_b 7.480
_cell_length_c 8.713
_cell_angle_alpha 98.24
_cell_angle_beta 98.24
_cell_angle_gamma 119.99
_symmetry_space_group_name_H-M 'P 1'
_symmetry_Int_Tables_number 1
loop_
_symmetry_equiv_pos_as_xyz
'x,y,z'
loop_
_atom_site_label
_atom_site_type_symbol
_atom_site_fract_x
_atom_site_fract_y
_atom_site_fract_z
Ce1 Ce 0.334 0.666 0.000
Ce2 Ce 0.666 0.334 0.000
Sc1 Sc 0.000 0.000 0.000
Se1 Se 0.376 0.061 0.184
Se2 Se 0.061 0.376 0.184
Se3 Se 0.939 0.624 0.816
Se4 Se 0.624 0.939 0.816
Se5 Se 0.747 0.747 0.185
Se6 Se 0.253 0.253 0.815
Cs1 Cs 0.169 0.831 0.500
Cs2 Cs 0.500 0.500 0.500
Cs3 Cs 0.831 0.169 0.500
# * total energy: -5.0908 eV/atom
# * magnetization: 2.03 μB/cell
# * N(E_F): 1.073 states/eV per atom
# * volume: 404.47 Å³/cell


No. 3
# Cs3CeSc2Te6 | Alexandria via LeMat-Bulk | GGA-PBE | relaxed
data_Cs3CeSc2Te6
_chemical_formula_sum 'Cs3 Ce1 Sc2 Te6'
_cell_length_a 7.780
_cell_length_b 7.780
_cell_length_c 9.241
_cell_angle_alpha 98.09
_cell_angle_beta 98.09
_cell_angle_gamma 119.99
_symmetry_space_group_name_H-M 'P 1'
_symmetry_Int_Tables_number 1
loop_
_symmetry_equiv_pos_as_xyz
'x,y,z'
loop_
_atom_site_label
_atom_site_type_symbol
_atom_site_fract_x
_atom_site_fract_y
_atom_site_fract_z
Cs1 Cs 0.162 0.838 0.500
Cs2 Cs 0.838 0.162 0.500
Cs3 Cs 0.500 0.500 0.500
Te1 Te 0.938 0.586 0.815
Te2 Te 0.292 0.292 0.817
Te3 Te 0.708 0.708 0.183
Te4 Te 0.414 0.062 0.185
Te5 Te 0.062 0.414 0.185
Te6 Te 0.586 0.938 0.815
Ce1 Ce 0.000 0.000 0.000
Sc1 Sc 0.667 0.333 0.000
Sc2 Sc 0.333 0.667 0.000
# * total energy: -4.5936 eV/atom
# * magnetization: 1.03 μB/cell
# * N(E_F): 0.524 states/eV per atom
# * volume: 464.88 Å³/cell


No. 4
# CsCeScTe3 | Alexandria via LeMat-Bulk | GGA-PBE | relaxed
data_CsCeScTe3
_chemical_formula_sum 'Cs2 Ce2 Sc2 Te6'
_cell_length_a 4.792
_cell_length_b 10.274
_cell_length_c 11.182
_cell_angle_alpha 110.39
_cell_angle_beta 90.00
_cell_angle_gamma 90.00
_symmetry_space_group_name_H-M 'P 1'
_symmetry_Int_Tables_number 1
loop_
_symmetry_equiv_pos_as_xyz
'x,y,z'
loop_
_atom_site_label
_atom_site_type_symbol
_atom_site_fract_x
_atom_site_fract_y
_atom_site_fract_z
Te1 Te 0.250 0.115 0.864
Te2 Te 0.750 0.885 0.136
Te3 Te 0.750 0.476 0.163
Te4 Te 0.250 0.524 0.837
Te5 Te 0.250 0.798 0.455
Te6 Te 0.750 0.202 0.545
Cs1 Cs 0.750 0.784 0.762
Cs2 Cs 0.250 0.216 0.238
Ce1 Ce 0.250 0.670 0.137
Ce2 Ce 0.750 0.330 0.863
Sc1 Sc 0.250 0.090 0.607
Sc2 Sc 0.750 0.910 0.393
# * total energy: -4.9635 eV/atom
# * magnetization: 2.49 μB/cell
# * N(E_F): 1.604 states/eV per atom
# * volume: 515.97 Å³/cell


No. 5
# CsCeSe2 | Alexandria via LeMat-Bulk | GGA-PBE | relaxed
data_CsCeSe2
_chemical_formula_sum 'Cs1 Ce1 Se2'
_cell_length_a 3.780
_cell_length_b 3.780
_cell_length_c 8.501
_cell_angle_alpha 90.00
_cell_angle_beta 90.00
_cell_angle_gamma 90.00
_symmetry_space_group_name_H-M 'P 1'
_symmetry_Int_Tables_number 1
loop_
_symmetry_equiv_pos_as_xyz
'x,y,z'
loop_
_atom_site_label
_atom_site_type_symbol
_atom_site_fract_x
_atom_site_fract_y
_atom_site_fract_z
Ce1 Ce 0.500 0.500 0.000
Se1 Se 0.000 0.000 0.196
Se2 Se 0.000 0.000 0.804
Cs1 Cs 0.500 0.500 0.500
# * total energy: -4.9398 eV/atom
# * magnetization: 0.95 μB/cell
# * N(E_F): 1.283 states/eV per atom
# * volume: 121.47 Å³/cell


No. 6
# CsCeSe2 | Alexandria via LeMat-Bulk | GGA-PBE | relaxed
data_CsCeSe2
_chemical_formula_sum 'Cs1 Ce1 Se2'
_cell_length_a 4.411
_cell_length_b 4.411
_cell_length_c 8.568
_cell_angle_alpha 90.00
_cell_angle_beta 90.00
_cell_angle_gamma 120.00
_symmetry_space_group_name_H-M 'P 1'
_symmetry_Int_Tables_number 1
loop_
_symmetry_equiv_pos_as_xyz
'x,y,z'
loop_
_atom_site_label
_atom_site_type_symbol
_atom_site_fract_x
_atom_site_fract_y
_atom_site_fract_z
Ce1 Ce 0.000 0.500 0.000
Cs1 Cs 0.000 0.500 0.500
Se1 Se 0.333 0.167 0.188
Se2 Se 0.667 0.833 0.812
# * total energy: -5.0664 eV/atom
# * magnetization: 1.00 μB/cell
# * N(E_F): 1.585 states/eV per atom
# * volume: 144.35 Å³/cell


No. 7
# CsCe4Se6 | Alexandria via LeMat-Bulk | GGA-PBE | relaxed
data_CsCe4Se6
_chemical_formula_sum 'Cs1 Ce4 Se6'
_cell_length_a 7.812
_cell_length_b 7.812
_cell_length_c 7.812
_cell_angle_alpha 94.81
_cell_angle_beta 117.26
_cell_angle_gamma 117.26
_symmetry_space_group_name_H-M 'P 1'
_symmetry_Int_Tables_number 1
loop_
_symmetry_equiv_pos_as_xyz
'x,y,z'
loop_
_atom_site_label
_atom_site_type_symbol
_atom_site_fract_x
_atom_site_fract_y
_atom_site_fract_z
Cs1 Cs 0.000 0.000 0.000
Se1 Se 0.311 0.468 0.468
Se2 Se 0.000 0.532 0.843
Se3 Se 0.500 0.000 0.500
Se4 Se 0.500 0.500 0.000
Se5 Se 0.000 0.843 0.532
Se6 Se 0.689 0.157 0.157
Ce1 Ce 0.000 0.214 0.587
Ce2 Ce 0.626 0.413 0.413
Ce3 Ce 0.374 0.786 0.786
Ce4 Ce 0.000 0.587 0.214
# * total energy: -5.5963 eV/atom
# * magnetization: 5.00 μB/cell
# * N(E_F): 1.937 states/eV per atom
# * volume: 349.78 Å³/cell


No. 8
# Cs2Ce2Se5 | Alexandria via LeMat-Bulk | GGA-PBE | relaxed
data_Cs2Ce2Se5
_chemical_formula_sum 'Cs4 Ce4 Se10'
_cell_length_a 8.133
_cell_length_b 8.126
_cell_length_c 9.702
_cell_angle_alpha 114.76
_cell_angle_beta 90.00
_cell_angle_gamma 90.00
_symmetry_space_group_name_H-M 'P 1'
_symmetry_Int_Tables_number 1
loop_
_symmetry_equiv_pos_as_xyz
'x,y,z'
loop_
_atom_site_label
_atom_site_type_symbol
_atom_site_fract_x
_atom_site_fract_y
_atom_site_fract_z
Se1 Se 0.358 0.754 0.793
Se2 Se 0.642 0.246 0.207
Se3 Se 0.142 0.461 0.207
Se4 Se 0.500 0.500 0.000
Se5 Se 0.858 0.539 0.793
Se6 Se 0.142 0.254 0.793
Se7 Se 0.642 0.039 0.793
Se8 Se 0.858 0.746 0.207
Se9 Se 0.358 0.961 0.207
Se10 Se 0.000 0.000 0.000
Ce1 Ce 0.664 0.836 0.000
Ce2 Ce 0.336 0.164 0.000
Ce3 Ce 0.836 0.336 0.000
Ce4 Ce 0.164 0.664 0.000
Cs1 Cs 0.500 0.294 0.589
Cs2 Cs 0.500 0.706 0.411
Cs3 Cs 0.000 0.206 0.411
Cs4 Cs 0.000 0.794 0.589
# * total energy: -4.9801 eV/atom
# * magnetization: 0.57 μB/cell
# * volume: 582.28 Å³/cell


No. 9
# CsCe4Se6 | Alexandria via LeMat-Bulk | GGA-PBE | relaxed
data_CsCe4Se6
_chemical_formula_sum 'Cs2 Ce8 Se12'
_cell_length_a 4.314
_cell_length_b 7.427
_cell_length_c 22.481
_cell_angle_alpha 90.00
_cell_angle_beta 90.00
_cell_angle_gamma 106.88
_symmetry_space_group_name_H-M 'P 1'
_symmetry_Int_Tables_number 1
loop_
_symmetry_equiv_pos_as_xyz
'x,y,z'
loop_
_atom_site_label
_atom_site_type_symbol
_atom_site_fract_x
_atom_site_fract_y
_atom_site_fract_z
Ce1 Ce 0.402 0.805 0.128
Ce2 Ce 0.865 0.730 0.961
Ce3 Ce 0.865 0.730 0.539
Ce4 Ce 0.135 0.270 0.039
Ce5 Ce 0.598 0.195 0.872
Ce6 Ce 0.402 0.805 0.372
Ce7 Ce 0.598 0.195 0.628
Ce8 Ce 0.135 0.270 0.461
Se1 Se 0.231 0.462 0.919
Se2 Se 0.769 0.538 0.081
Se3 Se 0.966 0.931 0.851
Se4 Se 0.034 0.069 0.351
Se5 Se 0.966 0.931 0.649
Se6 Se 0.356 0.713 0.250
Se7 Se 0.500 0.000 0.000
Se8 Se 0.644 0.287 0.750
Se9 Se 0.034 0.069 0.149
Se10 Se 0.769 0.538 0.419
Se11 Se 0.231 0.462 0.581
Se12 Se 0.500 0.000 0.500
Cs1 Cs 0.341 0.683 0.750
Cs2 Cs 0.659 0.317 0.250
# * total energy: -5.8539 eV/atom
# * magnetization: 9.06 μB/cell
# * N(E_F): 2.223 states/eV per atom
# * volume: 689.19 Å³/cell


No. 10
# CsCeSe2 | Alexandria via LeMat-Bulk | GGA-PBE | relaxed
data_CsCeSe2
_chemical_formula_sum 'Cs1 Ce1 Se2'
_cell_length_a 4.420
_cell_length_b 4.420
_cell_length_c 8.845
_cell_angle_alpha 75.53
_cell_angle_beta 75.53
_cell_angle_gamma 60.00
_symmetry_space_group_name_H-M 'P 1'
_symmetry_Int_Tables_number 1
loop_
_symmetry_equiv_pos_as_xyz
'x,y,z'
loop_
_atom_site_label
_atom_site_type_symbol
_atom_site_fract_x
_atom_site_fract_y
_atom_site_fract_z
Se1 Se 0.271 0.271 0.187
Se2 Se 0.064 0.064 0.809
Cs1 Cs 0.498 0.498 0.505
Ce1 Ce 0.667 0.667 0.998
# * total energy: -5.0862 eV/atom
# * magnetization: 1.00 μB/cell
# * N(E_F): 1.572 states/eV per atom
# * volume: 143.30 Å³/cell


No. 11
# CsCe2Se4 | Alexandria via LeMat-Bulk | GGA-PBE | relaxed
data_CsCe2Se4
_chemical_formula_sum 'Cs2 Ce4 Se8'
_cell_length_a 4.357
_cell_length_b 7.513
_cell_length_c 14.880
_cell_angle_alpha 90.00
_cell_angle_beta 90.00
_cell_angle_gamma 106.85
_symmetry_space_group_name_H-M 'P 1'
_symmetry_Int_Tables_number 1
loop_
_symmetry_equiv_pos_as_xyz
'x,y,z'
loop_
_atom_site_label
_atom_site_type_symbol
_atom_site_fract_x
_atom_site_fract_y
_atom_site_fract_z
Ce1 Ce 0.135 0.270 0.066
Ce2 Ce 0.865 0.730 0.934
Ce3 Ce 0.865 0.730 0.566
Ce4 Ce 0.135 0.270 0.434
Cs1 Cs 0.607 0.214 0.750
Cs2 Cs 0.393 0.786 0.250
Se1 Se 0.091 0.181 0.250
Se2 Se 0.239 0.478 0.602
Se3 Se 0.239 0.478 0.898
Se4 Se 0.500 0.000 0.500
Se5 Se 0.500 0.000 0.000
Se6 Se 0.761 0.522 0.102
Se7 Se 0.909 0.819 0.750
Se8 Se 0.761 0.522 0.398
# * total energy: -5.4492 eV/atom
# * magnetization: 2.07 μB/cell
# * N(E_F): 1.280 states/eV per atom
# * volume: 466.17 Å³/cell


No. 12
# CsCeSiSe4 | Alexandria via LeMat-Bulk | GGA-PBE | relaxed
data_CsCeSiSe4
_chemical_formula_sum 'Cs4 Ce4 Si4 Se16'
_cell_length_a 6.831
_cell_length_b 7.162
_cell_length_c 18.778
_cell_angle_alpha 90.00
_cell_angle_beta 90.00
_cell_angle_gamma 90.00
_symmetry_space_group_name_H-M 'P 1'
_symmetry_Int_Tables_number 1
loop_
_symmetry_equiv_pos_as_xyz
'x,y,z'
loop_
_atom_site_label
_atom_site_type_symbol
_atom_site_fract_x
_atom_site_fract_y
_atom_site_fract_z
Ce1 Ce 0.707 0.978 0.273
Ce2 Ce 0.207 0.522 0.727
Ce3 Ce 0.293 0.478 0.227
Ce4 Ce 0.793 0.022 0.773
Se1 Se 0.106 0.253 0.849
Se2 Se 0.884 0.568 0.280
Se3 Se 0.933 0.250 0.643
Se4 Se 0.433 0.250 0.357
Se5 Se 0.384 0.932 0.720
Se6 Se 0.894 0.753 0.651
Se7 Se 0.606 0.247 0.151
Se8 Se 0.567 0.750 0.143
Se9 Se 0.067 0.750 0.857
Se10 Se 0.116 0.068 0.220
Se11 Se 0.052 0.511 0.092
Se12 Se 0.448 0.489 0.592
Se13 Se 0.394 0.747 0.349
Se14 Se 0.552 0.989 0.908
Se15 Se 0.948 0.011 0.408
Se16 Se 0.616 0.432 0.780
Cs1 Cs 0.987 0.005 0.033
Cs2 Cs 0.487 0.495 0.967
Cs3 Cs 0.513 0.995 0.533
Cs4 Cs 0.013 0.505 0.467
Si1 Si 0.788 0.515 0.165
Si2 Si 0.712 0.485 0.665
Si3 Si 0.212 0.015 0.335
Si4 Si 0.288 0.985 0.835
# * total energy: -4.9745 eV/atom
# * magnetization: 4.00 μB/cell
# * N(E_F): 1.160 states/eV per atom
# * volume: 918.67 Å³/cell